(1)
First-principles (GGA-PBEsol) data for a relaxed structure of Sr3Al, as listed in Alexandria via LeMat-Bulk.

Calculated values
Final energy in eV/cell: -38.983
Calculated volume in Å³ per atom: 41.45
Calculated density in g/cm3: 2.9
ΔH_f (0 K) in eV/atom: -0.033

a b c (Å): 6.8748 9.2938 10.3805
angles (deg): 90.00 90.00 90.00
Closest atoms and distances in Å follow each position.
Fractional coordinates of all 16 atoms:
1 Al 0.5609 0.8774 0.7500  8 Sr 3.40-3.52
2 Al 0.0609 0.6226 0.2500  8 Sr 3.40-3.52
3 Al 0.9391 0.3774 0.7500  8 Sr 3.40-3.52
4 Al 0.4391 0.1226 0.2500  8 Sr 3.40-3.52
5 Sr 0.1046 0.0322 0.7500  2 Al 3.40-3.45
6 Sr 0.6046 0.4678 0.2500  2 Al 3.40-3.45
7 Sr 0.3954 0.5322 0.7500  2 Al 3.40-3.45
8 Sr 0.8954 0.9678 0.2500  2 Al 3.40-3.45
9 Sr 0.6338 0.1705 0.9396  3 Al 3.40-3.52
10 Sr 0.1338 0.3295 0.0604  3 Al 3.40-3.52
11 Sr 0.8662 0.6705 0.5604  3 Al 3.40-3.52
12 Sr 0.3662 0.8295 0.4396  3 Al 3.40-3.52
13 Sr 0.3662 0.8295 0.0604  3 Al 3.40-3.52
14 Sr 0.8662 0.6705 0.9396  3 Al 3.40-3.52
15 Sr 0.1338 0.3295 0.4396  3 Al 3.40-3.52
16 Sr 0.6338 0.1705 0.5604  3 Al 3.40-3.52

---

(2)
First-principles (GGA-PBEsol) data for a relaxed structure of Ca2HgC, as listed in Alexandria via LeMat-Bulk.

Calculated values
Final energy in eV/cell: -12.952
Calculated volume in Å³ per atom: 20.26
Calculated density in g/cm3: 6.0
ΔH_f (0 K) in eV/atom: 0.381

a b c (Å): 4.8575 4.8575 4.8575
angles (deg): 60.00 60.00 60.00
Closest atoms and distances in Å follow each position.
Fractional coordinates of all 4 atoms:
1 C 0.0000 0.0000 0.0000  8 Ca 2.97
2 Ca 0.2500 0.2500 0.2500  4 Hg 2.97, 4 C 2.97
3 Ca 0.7500 0.7500 0.7500  4 Hg 2.97, 4 C 2.97
4 Hg 0.5000 0.5000 0.5000  8 Ca 2.97

---

(3)
First-principles (GGA-PBEsol) data for a relaxed structure of Cd2PtW, as listed in Alexandria via LeMat-Bulk.

Calculated values
Polymorph energy (0 for the lowest one) in eV per atom: 0.000
Final energy in eV/cell: -21.272
Calculated volume in Å³ per atom: 17.11
Calculated density in g/cm3: 14.6
ΔH_f (0 K) in eV/atom: 0.473

a b c (Å): 4.5915 4.5915 4.5915
angles (deg): 60.00 60.00 60.00
Closest atoms and distances in Å follow each position.
Fractional coordinates of all 4 atoms:
1 W 0.2500 0.2500 0.2500  4 Cd 2.81, 4 Pt 2.81
2 Pt 0.5000 0.5000 0.5000  4 W 2.81, 4 Cd 2.81
3 Cd 0.0000 0.0000 0.0000  4 Cd 2.81, 4 W 2.81
4 Cd 0.7500 0.7500 0.7500  4 Pt 2.81, 4 Cd 2.81

---

(4)
First-principles (GGA-PBEsol) data for a relaxed structure of KMn3Te, as listed in Alexandria via LeMat-Bulk.

Calculated values
Formation energy (no corrections) in eV/atom: 1.1138
Final energy in eV/cell: -28.374
Calculated volume in Å³ per atom: 25.08
Calculated density in g/cm3: 4.4

a b c (Å): 5.0055 5.0055 5.0055
angles (deg): 90.00 90.00 90.00
Closest atoms and distances in Å follow each position.
Fractional coordinates of all 5 atoms:
1 K 0.5000 0.5000 0.5000  12 Mn 3.54
2 Te 0.0000 0.0000 0.0000  6 Mn 2.50
3 Mn 0.0000 0.5000 0.0000  2 Te 2.50
4 Mn 0.0000 0.0000 0.5000  2 Te 2.50
5 Mn 0.5000 0.0000 0.0000  2 Te 2.50

---

(5)
First-principles (GGA-PBEsol) data for a relaxed structure of CaYPt, as listed in Alexandria via LeMat-Bulk.

Calculated values
Final energy in eV/cell: -16.083
Calculated volume in Å³ per atom: 24.97
Calculated density in g/cm3: 7.2
ΔH_f (0 K) in eV/atom: -0.055

a b c (Å): 4.7317 4.7317 4.7317
angles (deg): 60.00 60.00 60.00
Closest atoms and distances in Å follow each position.
Fractional coordinates of all 3 atoms:
1 Y 0.2500 0.2500 0.2500  4 Ca 2.90, 4 Pt 2.90
2 Ca 0.0000 0.0000 0.0000  4 Y 2.90
3 Pt 0.5000 0.5000 0.5000  4 Y 2.90

---

(6)
First-principles (GGA-PBEsol) data for a relaxed structure of Cd2HgBi, as listed in Alexandria via LeMat-Bulk.

Calculated values
Polymorph energy (0 for the lowest one) in eV per atom: 0.000
Final energy in eV/cell: -7.019
Calculated volume in Å³ per atom: 24.50
Calculated density in g/cm3: 10.7
ΔH_f (0 K) in eV/atom: 0.057

a b c (Å): 5.1752 5.1752 5.1752
angles (deg): 60.00 60.00 60.00
Closest atoms and distances in Å follow each position.
Fractional coordinates of all 4 atoms:
1 Hg 0.0000 0.0000 0.0000  8 Cd 3.17
2 Bi 0.5000 0.5000 0.5000  8 Cd 3.17
3 Cd 0.2500 0.2500 0.2500  4 Bi 3.17, 4 Hg 3.17
4 Cd 0.7500 0.7500 0.7500  4 Bi 3.17, 4 Hg 3.17

---

(7)
First-principles (GGA-PBEsol) data for a relaxed structure of NaCdSn3, as listed in Alexandria via LeMat-Bulk.

Calculated values
Final energy in eV/cell: -11.970
Calculated volume in Å³ per atom: 30.24
Calculated density in g/cm3: 5.4
ΔH_f (0 K) in eV/atom: 0.681

a b c (Å): 5.3271 5.3271 5.3271
angles (deg): 90.00 90.00 90.00
Closest atoms and distances in Å follow each position.
Fractional coordinates of all 5 atoms:
1 Na 0.0000 0.0000 0.0000  6 Sn 2.66
2 Sn 0.0000 0.5000 0.0000  2 Na 2.66
3 Sn 0.0000 0.0000 0.5000  2 Na 2.66
4 Sn 0.5000 0.0000 0.0000  2 Na 2.66
5 Cd 0.5000 0.5000 0.5000  12 Sn 3.77

---

(8)
First-principles (GGA-PBEsol) data for a relaxed structure of LaNb3Ir, as listed in Alexandria via LeMat-Bulk.

Calculated values
Final energy in eV/cell: -37.329
Calculated volume in Å³ per atom: 21.27
Calculated density in g/cm3: 9.5
ΔH_f (0 K) in eV/atom: 2.061

a b c (Å): 4.7377 4.7377 4.7377
angles (deg): 90.00 90.00 90.00
Closest atoms and distances in Å follow each position.
Fractional coordinates of all 5 atoms:
1 Nb 0.0000 0.5000 0.0000  2 La 2.37
2 Nb 0.0000 0.0000 0.5000  2 La 2.37
3 Nb 0.5000 0.0000 0.0000  2 La 2.37
4 Ir 0.5000 0.5000 0.5000  12 Nb 3.35
5 La 0.0000 0.0000 0.0000  6 Nb 2.37

---

(9)
First-principles (GGA-PBEsol) data for a relaxed structure of K3C, as listed in Alexandria via LeMat-Bulk.

Calculated values
Polymorph energy (0 for the lowest one) in eV per atom: 0.056
Final energy in eV/cell: -8.481
Calculated volume in Å³ per atom: 40.09
Calculated density in g/cm3: 1.3
ΔH_f (0 K) in eV/atom: 1.141

a b c (Å): 3.8319 5.0998 8.8048
angles (deg): 106.83 102.57 90.00
Closest atoms and distances in Å follow each position.
Fractional coordinates of all 4 atoms:
1 K 0.6392 0.6392 0.2785  2 C 2.98
2 K 0.3608 0.3608 0.7215  2 C 2.98
3 K 0.5000 0.0000 0.0000  4 C 3.19, 4 K 3.42
4 C 0.0000 0.5000 0.0000  8 K 2.98-3.19

---

(10)
First-principles (GGA-PBEsol) data for a relaxed structure of Er3Ni2, as listed in Alexandria via LeMat-Bulk.

Calculated values
Final energy in eV/cell: -86.930
Calculated volume in Å³ per atom: 20.48
Calculated density in g/cm3: 10.0
ΔH_f (0 K) in eV/atom: -0.376

a b c (Å): 7.0206 7.0206 7.0206
angles (deg): 72.74 72.74 72.74
Closest atoms and distances in Å follow each position.
Fractional coordinates of all 15 atoms:
1 Er 0.5000 0.5000 0.5000  6 Ni 2.84, 2 Er 3.18
2 Er 0.2931 0.2931 0.2931  6 Ni 2.71-2.86
3 Er 0.7069 0.7069 0.7069  6 Ni 2.71-2.86
4 Er 0.8369 0.3291 0.1127  4 Ni 2.76-2.92
5 Er 0.3291 0.1127 0.8369  4 Ni 2.76-2.92
6 Er 0.1127 0.8369 0.3291  4 Ni 2.76-2.92
7 Er 0.1631 0.6709 0.8873  4 Ni 2.76-2.92
8 Er 0.6709 0.8873 0.1631  4 Ni 2.76-2.92
9 Er 0.8873 0.1631 0.6709  4 Ni 2.76-2.92
10 Ni 0.4604 0.6449 0.0873  1 Ni 2.52, 4 Er 2.71-2.80
11 Ni 0.6449 0.0873 0.4604  1 Ni 2.52, 4 Er 2.71-2.80
12 Ni 0.0873 0.4604 0.6449  1 Ni 2.52, 4 Er 2.71-2.80
13 Ni 0.5396 0.3551 0.9127  1 Ni 2.52, 4 Er 2.71-2.80
14 Ni 0.3551 0.9127 0.5396  1 Ni 2.52, 4 Er 2.71-2.80
15 Ni 0.9127 0.5396 0.3551  1 Ni 2.52, 4 Er 2.71-2.80

---

(11)
First-principles (GGA-PBEsol) data for a relaxed structure of BePbSe2, as listed in Alexandria via LeMat-Bulk.

Calculated values
Formation energy (no corrections) in eV/atom: 0.1557
Polymorph energy (0 for the lowest one) in eV per atom: 0.490
Final energy in eV/cell: -15.076
Calculated volume in Å³ per atom: 19.78
Calculated density in g/cm3: 7.9

a b c (Å): 3.3453 3.3453 7.0715
angles (deg): 90.00 90.00 90.00
Closest atoms and distances in Å follow each position.
Fractional coordinates of all 4 atoms:
1 Pb 0.5000 0.5000 0.5000  8 Se 3.19, 4 Pb 3.35, 2 Be 3.54
2 Be 0.5000 0.5000 0.0000  8 Se 2.75
3 Se 0.0000 0.0000 0.8021  4 Be 2.75, 1 Se 2.80
4 Se 0.0000 0.0000 0.1979  4 Be 2.75, 1 Se 2.80

---

(12)
First-principles (GGA-PBEsol) data for a relaxed structure of NaNiSN2, as listed in Alexandria via LeMat-Bulk.

Calculated values
Formation energy (no corrections) in eV/atom: 0.8309
Final energy in eV/cell: -24.840
Calculated volume in Å³ per atom: 13.39
Calculated density in g/cm3: 3.5

a b c (Å): 3.7301 3.7301 4.8104
angles (deg): 90.00 90.00 90.00
Closest atoms and distances in Å follow each position.
Fractional coordinates of all 5 atoms:
1 Ni 0.0000 0.0000 0.0000  4 N 1.87
2 S 0.0000 0.0000 0.5000  2 Ni 2.41, 4 Na 2.64
3 N 0.0000 0.5000 0.0000  2 Ni 1.87
4 N 0.5000 0.0000 0.0000  2 Ni 1.87
5 Na 0.5000 0.5000 0.5000  4 S 2.64

---

Question: What is the formula in the seventh record?
Answer: NaCdSn3